CrWNO2 after structural relaxation. Source: Alexandria via LeMat-Bulk, functional PBE+U.

Values from the calculation:
The density of states at the Fermi level is 0.5289 states/eV/atom. For the electronic total energy, the calculation gives -33.49 eV for the cell shown. Its space group is P4/mmm (123).

Cell lengths 3.7641, 3.7641, 3.9280 Å; angles 90.00, 90.00, 90.00 degrees
Site moments in Bohr magnetons follow the coordinates.
Sites, in units of the cell vectors:
1 N 0.0000 0.0000 0.5000  -0.36
2 O 0.5000 0.0000 0.0000  -0.16
3 Cr 0.0000 0.0000 0.0000  2.65
4 O 0.0000 0.5000 0.0000  -0.16
5 W 0.5000 0.5000 0.5000  2.80